# 1
Density functional theory data (PBE-GGA) for a relaxed La2Sm2CBr4Cl crystal.

Calculated values
The energy above the most stable polymorph in this dataset is 0 meV/atom. The volume is 295.9 Å³ per cell.

Cell and atoms, written as POSCAR:
```
La2Sm2CBr4Cl
1.0
9.197 -1.986 0.000
9.197 1.986 0.000
-1.893 0.000 8.101
La Sm C Br Cl
2 2 1 4 1
direct
0.002 0.002 0.285 La
0.998 0.998 0.715 La
0.361 0.361 0.424 Sm
0.639 0.639 0.576 Sm
0.500 0.500 0.500 C
0.168 0.168 0.843 Br
0.174 0.174 0.338 Br
0.826 0.826 0.662 Br
0.832 0.832 0.157 Br
0.500 0.500 0.000 Cl
```

***

# 2
Density functional theory data (PBE-GGA) for a relaxed GaRe crystal.

Calculated values
The volume is 71.1 Å³ per cell. The calculated total energy is -6.985 eV per atom.

Cell and atoms, written as POSCAR:
```
GaRe
1.0
4.054 0.000 0.000
-2.027 3.511 0.000
0.000 0.000 4.995
Ga Re
2 2
direct
0.333 0.667 0.250 Ga
0.667 0.333 0.750 Ga
0.000 0.000 0.000 Re
0.000 0.000 0.500 Re
```